No. 1
The following is a DFT calculation (GGA-PBE) of a relaxed structure of ReSb2TeAs.

E: -0.1804 Ha/atom
energy above the lowest structure with this stoichiometry: 0.00 kcal/mol of atoms

```
5
Lattice="5.2055 0.0000 0.0000 0.0000 5.2055 0.0000 0.0000 0.0000 5.0707" Properties=species:S:1:pos:R:3 pbc="T T T"
Re 0.0000 0.0000 0.0000
Sb 0.0000 2.6028 0.0000
Sb 2.6028 0.0000 0.0000
Te 0.0000 0.0000 2.5353
As 2.6028 2.6028 2.5353
```

No. 2
The following is a DFT calculation (GGA-PBE) of a relaxed structure of TbHo4Er6.

E: -0.1634 Ha/atom
energy above the lowest structure with this stoichiometry: 0.00 kcal/mol of atoms
calculated formation energy: 1.410 eV per formula unit

```
22
Lattice="2.7963 -4.7816 0.0000 2.7963 4.7816 0.0000 0.0000 0.0000 25.4102" Properties=species:S:1:pos:R:3 pbc="T T T"
Tb 2.7963 3.0898 19.0577
Tb 2.7963 -3.0898 6.3526
Ho 2.7963 3.2279 1.0676
Ho 2.7963 3.2279 11.6375
Ho 2.7963 0.1284 3.0820
Ho 2.7963 0.1284 9.6231
Ho 2.7963 -0.1284 15.7871
Ho 2.7963 -0.1284 22.3282
Ho 2.7963 -3.2279 13.7728
Ho 2.7963 -3.2279 24.3426
Er 2.7963 3.2977 4.6114
Er 2.7963 3.2977 8.0937
Er 2.7963 3.0821 15.3403
Er 2.7963 3.0821 22.7750
Er 2.7963 0.1029 6.3526
Er 2.7963 0.0000 0.0000
Er 2.7963 0.0000 12.7051
Er 2.7963 -0.1029 19.0577
Er 2.7963 -3.0821 2.6352
Er 2.7963 -3.0821 10.0699
Er 2.7963 -3.2977 17.3165
Er 2.7963 -3.2977 20.7988
```

No. 3
The following is a DFT calculation (GGA-PBE) of a relaxed structure of Ce2PaTl3Se6.

E: -0.1953 Ha/atom

```
12
Lattice="3.7090 -6.4218 0.0000 3.7090 6.4218 0.0000 -2.4698 0.0000 7.8209" Properties=species:S:1:pos:R:3 pbc="T T T"
Ce 3.7090 4.2877 0.0000
Ce 3.7090 -4.2877 0.0000
Pa 3.7090 0.0000 0.0000
Tl -1.2349 0.0000 3.9104
Tl 2.4741 2.1647 3.9104
Tl 2.4741 -2.1647 3.9104
Se 0.0445 2.0704 6.2039
Se 1.3236 0.0000 1.6405
Se 0.0445 -2.0704 6.2039
Se 4.9037 2.0704 1.6170
Se 3.6245 0.0000 6.1804
Se 4.9037 -2.0704 1.6170
```

No. 4
The following is a DFT calculation (GGA-PBE) of a relaxed structure of DyHo5Th4.

E: -0.2061 Ha/atom
energy above the lowest structure with this stoichiometry: 0.00 kcal/mol of atoms
calculated formation energy: 1.089 eV per formula unit

```
10
Lattice="8.4844 -1.7369 0.0000 8.4844 1.7369 0.0000 -3.9405 0.0000 10.8726" Properties=species:S:1:pos:R:3 pbc="T T T"
Dy 0.0000 0.0000 0.0000
Ho -1.9702 0.0000 5.4363
Ho 3.4108 0.0000 4.1862
Ho 1.5984 0.0000 9.9509
Ho 11.4300 0.0000 0.9217
Ho 9.6176 0.0000 6.6864
Th -1.4722 0.0000 8.6352
Th 4.1766 0.0000 7.6672
Th 8.8519 0.0000 3.2054
Th 14.5006 0.0000 2.2374
```

No. 5
The following is a DFT calculation (GGA-PBE) of a relaxed structure of Rb3Tl2Pb3.

E: -0.0894 Ha/atom
calculated formation energy: -0.711 eV per formula unit

```
16
Lattice="2.3411 -7.0336 0.0000 2.3411 7.0336 0.0000 0.0000 0.0000 20.0671" Properties=species:S:1:pos:R:3 pbc="T T T"
Rb 2.3411 5.8340 15.0503
Rb 2.3411 5.0858 10.8731
Rb 2.3411 5.0858 19.2275
Rb 2.3411 -5.0858 0.8395
Rb 2.3411 -5.0858 9.1940
Rb 2.3411 -5.8340 5.0168
Tl 2.3411 3.9084 3.1180
Tl 2.3411 3.9084 6.9156
Tl 2.3411 -3.9084 13.1515
Tl 2.3411 -3.9084 16.9491
Pb 2.3411 1.8033 15.0503
Pb 2.3411 0.8780 12.1640
Pb 2.3411 0.8780 17.9366
Pb 2.3411 -0.8780 2.1305
Pb 2.3411 -0.8780 7.9030
Pb 2.3411 -1.8033 5.0168
```

No. 6
The following is a DFT calculation (GGA-PBE) of a relaxed structure of Ac4InHg.

E: -0.1296 Ha/atom
energy above the lowest structure with this stoichiometry: 0.00 kcal/mol of atoms
calculated formation energy: -1.683 eV per formula unit

```
6
Lattice="4.0789 0.0000 0.0000 0.0000 4.0789 0.0000 0.0000 0.0000 13.6978" Properties=species:S:1:pos:R:3 pbc="T T T"
Ac 0.0000 0.0000 1.9917
Ac 0.0000 0.0000 11.7060
Ac 2.0395 2.0395 4.8228
Ac 2.0395 2.0395 8.8750
In 0.0000 0.0000 6.8489
Hg 2.0395 2.0395 0.0000
```

No. 7
The following is a DFT calculation (GGA-PBE) of a relaxed structure of Ac2SmYEr.

E: -0.1663 Ha/atom
calculated formation energy: 1.342 eV per formula unit

```
10
Lattice="6.4286 0.0000 0.0000 0.0000 8.9320 0.0000 0.0000 0.0000 6.7319" Properties=species:S:1:pos:R:3 pbc="T T T"
Ac 1.6071 1.8274 1.4128
Ac 1.6071 7.1046 1.4128
Ac 4.8214 1.8274 5.3191
Ac 4.8214 7.1046 5.3191
Sm 1.6071 4.4660 6.1644
Sm 4.8214 4.4660 0.5675
Y 1.6071 0.0000 4.5917
Y 4.8214 0.0000 2.1401
Er 0.0000 4.4660 3.3659
Er 3.2143 4.4660 3.3659
```

No. 8
The following is a DFT calculation (GGA-PBE) of a relaxed structure of ScUPt4.

E: -0.2855 Ha/atom
calculated formation energy: -4.823 eV per formula unit

```
6
Lattice="0.0000 3.8004 3.8004 3.8004 0.0000 3.8004 3.8004 3.8004 0.0000" Properties=species:S:1:pos:R:3 pbc="T T T"
Sc 0.0000 0.0000 0.0000
U 1.9002 1.9002 1.9002
Pt 4.7536 2.8471 2.8471
Pt 2.8471 4.7536 2.8471
Pt 2.8471 2.8471 4.7536
Pt 4.7536 4.7536 4.7536
```

No. 9
The following is a DFT calculation (GGA-PBE) of a relaxed structure of Ac9Pr2Sm.

E: -0.1562 Ha/atom
calculated formation energy: 0.240 eV per formula unit

```
12
Lattice="5.5341 0.0000 0.0000 0.0000 5.5341 0.0000 0.0000 0.0000 16.6056" Properties=species:S:1:pos:R:3 pbc="T T T"
Ac 0.0000 0.0000 0.0000
Ac 0.0000 0.0000 5.5260
Ac 0.0000 0.0000 11.0796
Ac 0.0000 2.7671 2.7510
Ac 0.0000 2.7671 8.3028
Ac 0.0000 2.7671 13.8546
Ac 2.7671 0.0000 2.7510
Ac 2.7671 0.0000 8.3028
Ac 2.7671 0.0000 13.8546
Pr 2.7671 2.7671 5.5251
Pr 2.7671 2.7671 11.0805
Sm 2.7671 2.7671 0.0000
```

No. 10
The following is a DFT calculation (GGA-PBE) of a relaxed structure of SmThC.

E: -0.2606 Ha/atom
energy above the lowest structure with this stoichiometry: 4.99 kcal/mol of atoms
calculated formation energy: 0.085 eV per formula unit

```
3
Lattice="3.6135 0.0000 0.0000 0.0000 1.6891 5.8302 0.0000 -1.6891 5.8302" Properties=species:S:1:pos:R:3 pbc="T T T"
Sm 0.0000 0.0000 0.0000
Th 1.8068 0.0000 8.8931
C 0.0000 0.0000 3.8421
```

No. 11
The following is a DFT calculation (GGA-PBE) of a relaxed structure of Tm8GeTe4Pt3.

E: -0.2075 Ha/atom

```
16
Lattice="4.1093 2.3725 7.2230 -4.1093 2.3725 7.2230 0.0000 -4.7451 7.2230" Properties=species:S:1:pos:R:3 pbc="T T T"
Tm -2.0865 -1.2047 12.3939
Tm 0.0000 0.0000 5.1321
Tm 0.0000 -2.4093 9.2752
Tm -2.0865 1.2047 9.2752
Tm 2.0865 -1.2047 12.3939
Tm 0.0000 2.4093 12.3939
Tm 0.0000 0.0000 16.5369
Tm 2.0865 1.2047 9.2752
Ge 0.0000 0.0000 10.8345
Te 0.0000 0.0000 0.0000
Te -2.0547 -1.1863 7.2230
Te -2.0547 1.1863 14.4460
Te 0.0000 2.3725 7.2230
Pt -4.1093 0.0000 10.8345
Pt -2.0547 1.1863 3.6115
Pt 2.0547 1.1863 3.6115
```

No. 12
The following is a DFT calculation (GGA-PBE) of a relaxed structure of BaMoPb2.

E: -0.1607 Ha/atom
energy above the lowest structure with this stoichiometry: 9.80 kcal/mol of atoms
calculated formation energy: 2.677 eV per formula unit

```
4
Lattice="0.0000 3.9561 3.9561 3.9561 0.0000 3.9561 3.9561 3.9561 0.0000" Properties=species:S:1:pos:R:3 pbc="T T T"
Ba 0.0000 0.0000 0.0000
Mo 1.9780 1.9780 1.9780
Pb 3.9561 3.9561 3.9561
Pb 5.9341 5.9341 5.9341
```